# 1
Li2Zr (PBE-GGA, relaxed); E = -0.291 Ry/atom; theoretical density = 2.88 g/cm3; M_tot = 0.00 μB/cell; E_form = 0.17 eV per atom; distance to the lowest polymorph of the same formula = 1.44 kJ per mole of atoms; DOS at the Fermi energy = 0.711 states/eV per atom
1.0
11.2873 0.0000 0.0000
0.0000 2.9167 0.0000
-1.5257 0.0000 7.3729
Li Zr
8 4
direct
0.0300 0.0000 0.3221
0.1963 0.5000 0.6382
0.3037 0.0000 0.3618
0.4700 0.5000 0.6779
0.5300 0.5000 0.3221
0.6963 0.0000 0.6382
0.8037 0.5000 0.3618
0.9700 0.0000 0.6779
0.1386 0.5000 0.0243
0.3614 0.0000 0.9757
0.6386 0.0000 0.0243
0.8614 0.5000 0.9757


# 2
Li2Zr (PBE-GGA, relaxed); E = -0.265 Ry/atom; theoretical density = 2.77 g/cm3; M_tot = 0.00 μB/cell; E_form = 0.52 eV per atom; distance to the lowest polymorph of the same formula = 34.92 kJ per mole of atoms; DOS at the Fermi energy = 0.799 states/eV per atom
1.0
6.7507 0.0000 0.0000
0.0000 6.7507 0.0000
0.0000 0.0000 5.5371
Li Zr
8 4
direct
0.1311 0.3689 0.0000
0.1311 0.6311 0.5000
0.3689 0.1311 0.5000
0.3689 0.8689 0.0000
0.6311 0.1311 0.0000
0.6311 0.8689 0.5000
0.8689 0.3689 0.5000
0.8689 0.6311 0.0000
0.0000 0.0000 0.2500
0.0000 0.0000 0.7500
0.5000 0.5000 0.2500
0.5000 0.5000 0.7500


# 3
LiZr5 (PBE-GGA, relaxed); E = -0.537 Ry/atom; theoretical density = 5.70 g/cm3; M_tot = 0.00 μB/cell; E_form = 0.14 eV per atom; distance to the lowest polymorph of the same formula = 2.21 kJ per mole of atoms; DOS at the Fermi energy = 1.026 states/eV per atom
1.0
5.2314 0.0000 0.0000
0.0000 3.1457 0.0000
0.0000 0.0000 16.4088
Li Zr
2 10
direct
0.0000 0.0000 0.0000
0.0000 0.5000 0.5000
0.0000 0.0000 0.3383
0.0000 0.0000 0.6704
0.0000 0.5000 0.1704
0.0000 0.5000 0.8383
0.5000 0.0000 0.2216
0.5000 0.0000 0.5569
0.5000 0.0000 0.8901
0.5000 0.5000 0.0569
0.5000 0.5000 0.3901
0.5000 0.5000 0.7216


# 4
LiZr4 (PBE-GGA, relaxed); E = -0.478 Ry/atom; theoretical density = 5.55 g/cm3; M_tot = 0.00 μB/cell; E_form = 0.72 eV per atom; distance to the lowest polymorph of the same formula = 0.00 kJ per mole of atoms; DOS at the Fermi energy = 2.144 states/eV per atom
1.0
4.8092 0.0000 0.0000
0.0000 4.8092 0.0000
0.0000 0.0000 4.8092
Li Zr
1 4
direct
0.0000 0.0000 0.0000
0.0000 0.0000 0.5000
0.0000 0.5000 0.0000
0.5000 0.0000 0.0000
0.5000 0.5000 0.5000


# 5
Li2Zr (PBE-GGA, relaxed); E = -0.288 Ry/atom; theoretical density = 2.86 g/cm3; M_tot = 0.00 μB/cell; E_form = 0.21 eV per atom; distance to the lowest polymorph of the same formula = 5.63 kJ per mole of atoms; DOS at the Fermi energy = 0.676 states/eV per atom
1.0
6.2792 0.0000 0.0000
0.0000 2.9655 0.0000
0.0000 0.0000 13.1242
Li Zr
8 4
direct
0.1142 0.2500 0.0975
0.1433 0.2500 0.7418
0.3567 0.7500 0.2418
0.3858 0.7500 0.5975
0.6142 0.2500 0.4025
0.6433 0.2500 0.7582
0.8567 0.7500 0.2582
0.8858 0.7500 0.9025
0.1298 0.2500 0.4293
0.3702 0.7500 0.9293
0.6298 0.2500 0.0707
0.8702 0.7500 0.5707


# 6
Li3Zr5 (PBE-GGA, relaxed); E = -0.429 Ry/atom; theoretical density = 4.72 g/cm3; M_tot = 0.00 μB/cell; E_form = 0.22 eV per atom; DOS at the Fermi energy = 1.207 states/eV per atom
1.0
7.0773 0.0000 0.0000
0.0000 10.1575 0.0000
0.0000 0.0000 4.6683
Li Zr
6 10
direct
0.0000 0.0000 0.0000
0.1960 0.0000 0.5000
0.3040 0.5000 0.5000
0.5000 0.5000 0.0000
0.6960 0.5000 0.5000
0.8040 0.0000 0.5000
0.0000 0.2964 0.5000
0.0000 0.5000 0.0000
0.0000 0.7036 0.5000
0.2500 0.2500 0.0000
0.2500 0.7500 0.0000
0.5000 0.0000 0.0000
0.5000 0.2036 0.5000
0.5000 0.7964 0.5000
0.7500 0.2500 0.0000
0.7500 0.7500 0.0000


# 7
Li2Zr (PBE-GGA, relaxed); E = -0.245 Ry/atom; theoretical density = 2.05 g/cm3; M_tot = 0.00 μB/cell; E_form = 0.80 eV per atom; distance to the lowest polymorph of the same formula = 61.81 kJ per mole of atoms; DOS at the Fermi energy = 1.223 states/eV per atom
1.0
5.4681 0.0000 0.0000
0.0000 5.4681 0.0000
0.0000 0.0000 2.8519
Li Zr
2 1
direct
0.0000 0.5000 0.0000
0.5000 0.0000 0.0000
0.0000 0.0000 0.5000


# 8
Li6Zr (PBE-GGA, relaxed); E = -0.165 Ry/atom; theoretical density = 1.63 g/cm3; M_tot = 3.86 μB/cell; E_form = 0.62 eV per atom; DOS at the Fermi energy = 0.879 states/eV per atom
1.0
6.4666 0.0000 0.0000
0.0000 6.4666 0.0000
0.0000 0.0000 6.4666
Li Zr
12 2
direct
0.0000 0.2500 0.5000
0.0000 0.5000 0.2500
0.0000 0.5000 0.7500
0.0000 0.7500 0.5000
0.2500 0.0000 0.5000
0.2500 0.5000 0.0000
0.5000 0.0000 0.2500
0.5000 0.0000 0.7500
0.5000 0.2500 0.0000
0.5000 0.7500 0.0000
0.7500 0.0000 0.5000
0.7500 0.5000 0.0000
0.0000 0.0000 0.0000
0.5000 0.5000 0.5000